The following is a DFT calculation (GGA-PBE) of MnBeGe2Ir after structural relaxation.

Lattice parameters (Å, degrees): 4.4936 4.0886 4.4936 90.00 90.00 90.00
Site moments in Bohr magnetons follow the coordinates.
Fractional coordinates of all 5 atoms:
Ge1 0.0000 0.0000 0.5000  0.01
Ge2 0.5000 0.0000 0.0000  -0.05
Ir1 0.5000 0.5000 0.5000  0.80
Mn1 0.0000 0.0000 0.0000  1.66
Be1 0.0000 0.5000 0.0000  -0.04

Results
- Energy of formation: 832 meV/atom
- Crystal system: tetragonal
- Space group: P4/mmm, No. 123
- E: -5.366 eV/atom
- Spin magnetization: 2.39 μB per cell